(1)
Density functional theory data (PBE) for DyTm2AuC after structural relaxation.

Lattice parameters (Å, degrees): 4.725 4.725 4.954 90.00 90.00 90.00
Fractional positions:
1 Dy 0.000 0.000 0.000
2 Tm 0.000 0.500 0.499
3 Tm 0.500 0.000 0.499
4 Au 0.500 0.500 0.025
5 C 0.000 0.000 0.515

Properties
- Crystal system: tetragonal
- ΔE_f: -0.456 eV/atom
- V: 22.12 A^3/atom



(2)
Density functional theory data (PBE) for ErAuC after structural relaxation.

Lattice parameters (Å, degrees): 3.748 3.748 10.010 99.40 99.40 44.62
Fractional positions:
1 Er 0.050 0.050 0.166
2 Er 0.950 0.950 0.834
3 Au 0.175 0.175 0.612
4 Au 0.825 0.825 0.388
5 C 0.290 0.290 0.986
6 C 0.710 0.710 0.014

Properties
- Crystal system: monoclinic
- ΔE_f: -0.107 eV/atom
- V: 16.20 A^3/atom